Below is Ca2Al2Hg after structural relaxation, with properties calculated at the GGA-PBE level.

Cell lengths 4.727, 4.727, 13.057 Å; angles 90.00, 90.00, 90.00 degrees
Space group I4/mmm (No. 139)
Asymmetric unit:
Ca 0.000 0.500 0.250 x4
Al 0.000 0.000 0.093 x4
Hg 0.000 0.000 0.500 x2

Output
energy above the most stable polymorph in this dataset = 470 meV/atom
VASP energy = -2.15 eV/atom
E_form = 1.05 eV/f.u.
M_tot = 0.000 μB per formula unit

Below is CaAl2Hg2 after structural relaxation, with properties calculated at the GGA-PBE level.

Cell lengths 8.019, 8.019, 3.526 Å; angles 90.00, 90.00, 90.00 degrees
Space group P4/mbm (No. 127)
Asymmetric unit:
Ca 0.000 0.000 0.000 x2
Al 0.119 0.381 0.000 x4
Hg 0.178 0.678 0.500 x4

Output
energy above the most stable polymorph in this dataset = 174 meV/atom
VASP energy = -2.10 eV/atom
E_form = -0.41 eV/f.u.
M_tot = 0.000 μB per formula unit

Below is Ca8Al2Hg after structural relaxation, with properties calculated at the GGA-PBE level.

Cell lengths 5.276, 8.855, 15.031 Å; angles 90.00, 90.00, 90.00 degrees
Space group Immm (No. 71)
Asymmetric unit:
Ca 0.000 0.000 0.139 x4
Ca 0.000 0.213 0.341 x8
Ca 0.000 0.320 0.000 x4
Al 0.000 0.500 0.194 x4
Hg 0.000 0.500 0.500 x2

Output
energy above the most stable polymorph in this dataset = 65 meV/atom
VASP energy = -2.31 eV/atom
E_form = -1.62 eV/f.u.
M_tot = 0.000 μB per formula unit

Below is Ca2Al2Hg after structural relaxation, with properties calculated at the GGA-PBE level.

Cell lengths 7.183, 7.183, 4.900 Å; angles 90.00, 90.00, 90.00 degrees
Space group P4/mbm (No. 127)
Asymmetric unit:
Ca 0.171 0.329 0.000 x4
Al 0.130 0.630 0.500 x4
Hg 0.000 0.000 0.500 x2

Output
energy above the most stable polymorph in this dataset = 0 meV/atom
VASP energy = -2.62 eV/atom
E_form = -1.30 eV/f.u.
M_tot = 0.000 μB per formula unit

Below is Ca2Al2Hg after structural relaxation, with properties calculated at the GGA-PBE level.

Cell lengths 8.831, 8.831, 3.666 Å; angles 90.00, 90.00, 90.00 degrees
Space group P4/mbm (No. 127)
Asymmetric unit:
Ca 0.188 0.312 0.000 x4
Al 0.103 0.603 0.500 x4
Hg 0.000 0.000 0.000 x2

Output
energy above the most stable polymorph in this dataset = 199 meV/atom
VASP energy = -2.42 eV/atom
E_form = -0.31 eV/f.u.
M_tot = 0.000 μB per formula unit

Below is Ca2AlHg8 after structural relaxation, with properties calculated at the GGA-PBE level.

Cell lengths 4.674, 4.674, 12.741 Å; angles 90.00, 90.00, 90.00 degrees
Space group P4/mmm (No. 123)
Asymmetric unit:
Ca 0.000 0.000 0.187 x2
Al 0.000 0.000 0.500 x1
Hg 0.000 0.500 0.000 x2
Hg 0.000 0.500 0.370 x4
Hg 0.500 0.500 0.186 x2

Output
VASP energy = -1.18 eV/atom
E_form = -2.82 eV/f.u.
M_tot = 0.000 μB per formula unit

Below is Ca2AlHg2 after structural relaxation, with properties calculated at the GGA-PBE level.

Cell lengths 8.575, 8.575, 3.830 Å; angles 90.00, 90.00, 90.00 degrees
Space group P4/mbm (No. 127)
Asymmetric unit:
Ca 0.155 0.345 0.000 x4
Al 0.000 0.000 0.000 x2
Hg 0.142 0.642 0.500 x4

Output
energy above the most stable polymorph in this dataset = 256 meV/atom
VASP energy = -1.84 eV/atom
E_form = -0.83 eV/f.u.
M_tot = 0.000 μB per formula unit

Below is Ca2AlHg2 after structural relaxation, with properties calculated at the GGA-PBE level.

Cell lengths 11.496, 4.581, 11.286 Å; angles 90.00, 117.33, 90.00 degrees
Space group C2/m (No. 12)
Asymmetric unit:
Ca 0.005 0.000 0.338 x4
Ca 0.188 0.000 0.107 x4
Al 0.218 0.500 0.350 x4
Hg 0.024 0.500 0.878 x4
Hg 0.149 0.500 0.569 x4

Output
energy above the most stable polymorph in this dataset = 0 meV/atom
VASP energy = -2.09 eV/atom
E_form = -2.11 eV/f.u.
M_tot = 0.000 μB per formula unit

Below is Ca5Al2Hg2 after structural relaxation, with properties calculated at the GGA-PBE level.

Cell lengths 16.464, 8.075, 8.146 Å; angles 90.00, 90.00, 90.00 degrees
Space group Cmce (No. 64)
Asymmetric unit:
Ca 0.000 0.000 0.000 x4
Ca 0.137 0.176 0.328 x16
Al 0.000 0.112 0.615 x8
Hg 0.206 0.000 0.000 x8

Output
VASP energy = -2.32 eV/atom
E_form = -2.76 eV/f.u.
M_tot = 0.000 μB per formula unit

Below is Ca3AlHg after structural relaxation, with properties calculated at the GGA-PBE level.

Cell lengths 5.359, 20.667, 5.358 Å; angles 90.00, 90.00, 90.00 degrees
Space group Cmcm (No. 63)
Asymmetric unit:
Ca 0.000 0.071 0.250 x4
Ca 0.000 0.250 0.250 x4
Ca 0.000 0.428 0.250 x4
Al 0.000 0.157 0.750 x4
Hg 0.000 0.342 0.750 x4

Output
energy above the most stable polymorph in this dataset = 0 meV/atom
VASP energy = -2.32 eV/atom
E_form = -1.53 eV/f.u.
M_tot = 0.000 μB per formula unit

Below is CaAlHg3 after structural relaxation, with properties calculated at the GGA-PBE level.

Cell lengths 5.182, 5.182, 5.182 Å; angles 90.00, 90.00, 90.00 degrees
Space group Pm-3m (No. 221)
Asymmetric unit:
Ca 0.000 0.000 0.000 x1
Al 0.500 0.500 0.500 x1
Hg 0.000 0.500 0.500 x3

Output
energy above the most stable polymorph in this dataset = 0 meV/atom
VASP energy = -1.42 eV/atom
E_form = -0.44 eV/f.u.
M_tot = 0.000 μB per formula unit

Below is CaAl2Hg2 after structural relaxation, with properties calculated at the GGA-PBE level.

Cell lengths 4.229, 4.229, 12.653 Å; angles 90.00, 90.00, 90.00 degrees
Space group I4/mmm (No. 139)
Asymmetric unit:
Ca 0.000 0.000 0.000 x2
Al 0.000 0.500 0.250 x4
Hg 0.000 0.000 0.388 x4

Output
energy above the most stable polymorph in this dataset = 0 meV/atom
VASP energy = -2.27 eV/atom
E_form = -1.28 eV/f.u.
M_tot = 0.000 μB per formula unit

Below is Ca4AlHg after structural relaxation, with properties calculated at the GGA-PBE level.

Cell lengths 3.760, 3.760, 13.408 Å; angles 90.00, 90.00, 90.00 degrees
Space group P4/mmm (No. 123)
Asymmetric unit:
Ca 0.000 0.000 0.137 x2
Ca 0.500 0.500 0.362 x2
Al 0.500 0.500 0.000 x1
Hg 0.000 0.000 0.500 x1

Output
energy above the most stable polymorph in this dataset = 0 meV/atom
VASP energy = -2.28 eV/atom
E_form = -1.60 eV/f.u.
M_tot = 0.000 μB per formula unit

Below is CaAl3Hg after structural relaxation, with properties calculated at the GGA-PBE level.

Cell lengths 4.203, 4.203, 6.126 Å; angles 90.00, 90.00, 90.00 degrees
Space group P4mm (No. 99)
Asymmetric unit:
Ca 0.000 0.000 0.000 x1
Al 0.000 0.500 0.534 x2
Al 0.500 0.500 0.801 x1
Hg 0.500 0.500 0.228 x1

Output
energy above the most stable polymorph in this dataset = 0 meV/atom
VASP energy = -2.90 eV/atom
E_form = -0.99 eV/f.u.
M_tot = 0.000 μB per formula unit

Below is CaHoAlHg after structural relaxation, with properties calculated at the GGA-PBE level.

Cell lengths 7.405, 7.405, 7.405 Å; angles 90.00, 90.00, 90.00 degrees
Space group F-43m (No. 216)
Asymmetric unit:
Ca 0.000 0.000 0.000 x4
Ho 0.000 0.000 0.500 x4
Al 0.250 0.250 0.250 x4
Hg 0.250 0.250 0.750 x4

Output
VASP energy = -3.04 eV/atom
E_form = -1.54 eV/f.u.
M_tot = 0.000 μB per formula unit

Below is CaAlInHg after structural relaxation, with properties calculated at the GGA-PBE level.

Cell lengths 7.248, 7.248, 7.248 Å; angles 90.00, 90.00, 90.00 degrees
Space group F-43m (No. 216)
Asymmetric unit:
Ca 0.000 0.000 0.000 x4
Al 0.000 0.000 0.500 x4
In 0.250 0.250 0.250 x4
Hg 0.250 0.250 0.750 x4

Output
VASP energy = -2.42 eV/atom
E_form = -0.89 eV/f.u.
M_tot = 0.000 μB per formula unit

Below is CaLaAlHg2 after structural relaxation, with properties calculated at the GGA-PBE level.

Cell lengths 5.151, 5.151, 5.546 Å; angles 90.00, 90.00, 90.00 degrees
Space group P4/mmm (No. 123)
Asymmetric unit:
Ca 0.000 0.000 0.000 x1
La 0.500 0.500 0.000 x1
Al 0.000 0.000 0.500 x1
Hg 0.000 0.500 0.500 x2

Output
VASP energy = -2.19 eV/atom
E_form = 0.35 eV/f.u.
M_tot = 0.000 μB per formula unit

Below is CaMg2AlHg5 after structural relaxation, with properties calculated at the GGA-PBE level.

Cell lengths 5.009, 6.407, 14.839 Å; angles 90.00, 90.00, 90.00 degrees
Space group Immm (No. 71)
Asymmetric unit:
Ca 0.000 0.000 0.000 x2
Mg 0.000 0.500 0.190 x4
Al 0.000 0.000 0.500 x2
Hg 0.000 0.265 0.352 x8
Hg 0.000 0.500 0.000 x2

Output
VASP energy = -1.25 eV/atom
E_form = -0.80 eV/f.u.
M_tot = 0.000 μB per formula unit

Below is NaCaAlHg after structural relaxation, with properties calculated at the GGA-PBE level.

Cell lengths 7.154, 7.154, 7.154 Å; angles 90.00, 90.00, 90.00 degrees
Space group F-43m (No. 216)
Asymmetric unit:
Na 0.000 0.000 0.000 x4
Ca 0.250 0.250 0.750 x4
Al 0.250 0.250 0.250 x4
Hg 0.000 0.000 0.500 x4

Output
VASP energy = -2.00 eV/atom
E_form = -0.64 eV/f.u.
M_tot = 0.000 μB per formula unit

Below is Ca2Al2HgPd5 after structural relaxation, with properties calculated at the GGA-PBE level.

Cell lengths 10.073, 10.073, 3.656 Å; angles 90.00, 90.00, 90.00 degrees
Space group P4/mbm (No. 127)
Asymmetric unit:
Ca 0.178 0.322 0.000 x4
Al 0.120 0.620 0.000 x4
Hg 0.000 0.000 0.000 x2
Pd 0.000 0.500 0.500 x2
Pd 0.068 0.787 0.500 x8

Output
VASP energy = -4.46 eV/atom
E_form = -6.89 eV/f.u.
M_tot = 0.000 μB per formula unit

Below is CaPmAlHg after structural relaxation, with properties calculated at the GGA-PBE level.

Cell lengths 7.531, 7.531, 7.531 Å; angles 90.00, 90.00, 90.00 degrees
Space group F-43m (No. 216)
Asymmetric unit:
Ca 0.000 0.000 0.000 x4
Pm 0.000 0.000 0.500 x4
Al 0.250 0.250 0.250 x4
Hg 0.250 0.250 0.750 x4

Output
energy above the most stable polymorph in this dataset = 8 meV/atom
VASP energy = -3.10 eV/atom
E_form = -1.60 eV/f.u.
M_tot = 0.000 μB per formula unit

Below is CaPmAlHg after structural relaxation, with properties calculated at the GGA-PBE level.

Cell lengths 3.681, 3.681, 7.811 Å; angles 90.00, 90.00, 90.00 degrees
Space group P4mm (No. 99)
Asymmetric unit:
Ca 0.000 0.000 0.000 x1
Pm 0.000 0.000 0.488 x1
Al 0.500 0.500 0.248 x1
Hg 0.500 0.500 0.751 x1

Output
energy above the most stable polymorph in this dataset = 0 meV/atom
VASP energy = -3.11 eV/atom
E_form = -1.64 eV/f.u.
M_tot = 0.000 μB per formula unit

Below is Ca2Al2HgPt5 after structural relaxation, with properties calculated at the GGA-PBE level.

Cell lengths 9.928, 9.928, 3.706 Å; angles 90.00, 90.00, 90.00 degrees
Space group P4/mbm (No. 127)
Asymmetric unit:
Ca 0.177 0.323 0.000 x4
Al 0.121 0.621 0.000 x4
Hg 0.000 0.000 0.000 x2
Pt 0.000 0.500 0.500 x2
Pt 0.067 0.787 0.500 x8

Output
VASP energy = -5.00 eV/atom
E_form = -7.99 eV/f.u.
M_tot = 0.000 μB per formula unit

Below is CaAlHg2Rh after structural relaxation, with properties calculated at the GGA-PBE level.

Cell lengths 5.081, 5.081, 4.673 Å; angles 90.00, 90.00, 90.00 degrees
Space group P4/mmm (No. 123)
Asymmetric unit:
Ca 0.000 0.000 0.000 x1
Al 0.500 0.500 0.500 x1
Hg 0.000 0.500 0.500 x2
Rh 0.500 0.500 0.000 x1

Output
VASP energy = -2.77 eV/atom
E_form = -0.14 eV/f.u.
M_tot = 0.000 μB per formula unit